Below is Cs2Nd2PuO6 after structural relaxation, with properties calculated at the PBE-GGA level.

Cell: 6.2764 10.8314 7.3504 Å, 90.00 106.12 90.00°
Space group C2/m (No. 12)
Asymmetric unit:
Cs (0.0000, 0.1669, 0.0000) x4
Nd (0.0000, 0.3342, 0.5000) x4
Pu (0.0000, 0.0000, 0.5000) x2
O (0.2066, 0.1606, 0.6572) x8
O (0.2436, 0.5000, 0.6577) x4

Output
E_form (uncorrected): -2.6774 eV/atom
Total magnetic moment: 0.3636 μB/atom
Volume: 480 Å³ per cell
Electronic total energy: -7.707 eV per atom